# 1
First-principles (PBE) data for crystalline Tm2InAu8 at its relaxed geometry, as listed in the Alexandria database.

SG = C2/m (12)
energy of formation = -508 meV per atom

Lattice parameters (Å, degrees): 7.6359 7.6359 7.0420 115.24 115.24 37.38
Closest atoms and distances in Å follow each position.
Positions (direct):
Tm 0.2089 0.2089 0.1768  10 Au 2.93-3.11
Tm 0.7911 0.7911 0.8232  10 Au 2.93-3.11
In 0.5000 0.5000 0.5000  4 Au 2.74
Au 0.0093 0.0093 0.2116  7 Au 2.87-3.03, 2 Tm 3.01-3.11
Au 0.1600 0.1600 0.6720  4 Au 2.88-3.17, 2 Tm 2.98, 2 In 3.21
Au 0.3526 0.3526 0.6430  1 In 2.74, 4 Au 2.82-3.03, 3 Tm 2.99-3.07
Au 0.3820 0.3820 0.0675  1 In 2.74, 3 Au 2.82-2.95, 3 Tm 2.93-2.94
Au 0.6180 0.6180 0.9325  1 In 2.74, 3 Au 2.82-2.95, 3 Tm 2.93-2.94
Au 0.6474 0.6474 0.3570  1 In 2.74, 4 Au 2.82-3.03, 3 Tm 2.99-3.07
Au 0.8400 0.8400 0.3280  4 Au 2.88-3.17, 2 Tm 2.98, 2 In 3.21
Au 0.9907 0.9907 0.7884  7 Au 2.87-3.03, 2 Tm 3.01-3.11

# 2
First-principles (PBE) data for crystalline MgZn2W at its relaxed geometry, as listed in the Alexandria database.

SG = I4/mmm (139)
energy of formation = 411 meV per atom

Lattice parameters (Å, degrees): 4.7779 4.7779 4.7779 129.78 129.78 73.76
Closest atoms and distances in Å follow each position.
Positions (direct):
Mg 0.0000 0.0000 0.0000  8 Zn 2.79, 4 W 2.87
Zn 0.2500 0.7500 0.5000  4 W 2.79, 4 Mg 2.79, 4 Zn 2.87
Zn 0.7500 0.2500 0.5000  4 W 2.79, 4 Mg 2.79, 4 Zn 2.87
W 0.5000 0.5000 0.0000  8 Zn 2.79, 4 Mg 2.87

# 3
First-principles (PBE) data for crystalline Zr2TiMn at its relaxed geometry, as listed in the Alexandria database.

SG = Fm-3m (225)
energy relative to the lowest polymorph listed for this composition = 91 meV/atom
energy of formation = 125 meV per atom

Lattice parameters (Å, degrees): 4.6630 4.6630 4.6630 60.00 60.00 60.00
Closest atoms and distances in Å follow each position.
Positions (direct):
Zr 0.2500 0.2500 0.2500  4 Mn 2.86, 4 Ti 2.86
Zr 0.7500 0.7500 0.7500  4 Mn 2.86, 4 Ti 2.86
Ti 0.0000 0.0000 0.0000  8 Zr 2.86
Mn 0.5000 0.5000 0.5000  8 Zr 2.86

# 4
First-principles (PBE) data for crystalline Pr5Sm4Sc2 at its relaxed geometry, as listed in the Alexandria database.

SG = Immm (71)
energy relative to the lowest polymorph listed for this composition = 165 meV/atom
energy of formation = 241 meV per atom

Lattice parameters (Å, degrees): 12.4698 12.4698 12.4698 163.86 135.02 48.09
Closest atoms and distances in Å follow each position.
Positions (direct):
Pr 0.0000 0.0000 0.0000  4 Sm 3.37, 2 Pr 3.50
Pr 0.0547 0.3434 0.7113  1 Sc 3.27, 2 Pr 3.50, 2 Sm 3.52
Pr 0.3679 0.6566 0.7113  1 Sc 3.27, 2 Pr 3.50, 2 Sm 3.52
Pr 0.6321 0.3434 0.2887  1 Sc 3.27, 2 Pr 3.50, 2 Sm 3.52
Pr 0.9453 0.6566 0.2887  1 Sc 3.27, 2 Pr 3.50, 2 Sm 3.52
Sm 0.3019 0.5000 0.8019  4 Pr 3.37-3.67, 6 Sm 3.41-3.50
Sm 0.4017 0.9017 0.5000  1 Sc 3.01
Sm 0.5983 0.0983 0.5000  1 Sc 3.01
Sm 0.6981 0.5000 0.1981  4 Pr 3.37-3.67, 6 Sm 3.41-3.50
Sc 0.2696 0.7696 0.5000  1 Sm 3.01, 2 Pr 3.27
Sc 0.7304 0.2304 0.5000  1 Sm 3.01, 2 Pr 3.27

# 5
First-principles (PBE) data for crystalline ZrSc2Sb at its relaxed geometry, as listed in the Alexandria database.

SG = R3m (160)
formation energy from raw total energies = -91 kJ/mol of formula units

Lattice parameters (Å, degrees): 9.9177 9.9177 9.9177 19.60 19.60 19.60
Closest atoms and distances in Å follow each position.
Positions (direct):
Zr 0.0000 0.0000 0.0000  6 Sc 3.15-3.17, 6 Zr 3.38
Sc 0.2476 0.2476 0.2476  3 Sb 3.06, 3 Zr 3.17, 6 Sc 3.38
Sc 0.4181 0.4181 0.4181  3 Sb 3.08, 3 Zr 3.15, 6 Sc 3.38
Sb 0.8332 0.8332 0.8332  6 Sc 3.06-3.08, 6 Sb 3.38

# 6
First-principles (PBE) data for crystalline TlHg4I at its relaxed geometry, as listed in the Alexandria database.

SG = F-43m (216)
formation energy from raw total energies = -66 kJ/mol of formula units

Lattice parameters (Å, degrees): 6.5661 6.5661 6.5661 60.00 60.00 60.00
Closest atoms and distances in Å follow each position.
Positions (direct):
Tl 0.0000 0.0000 0.0000  12 Hg 3.85, 4 I 4.02
Hg 0.3755 0.3755 0.3755  6 Hg 3.27-3.30
Hg 0.3755 0.3755 0.8735  6 Hg 3.27-3.30
Hg 0.3755 0.8735 0.3755  6 Hg 3.27-3.30
Hg 0.8735 0.3755 0.3755  6 Hg 3.27-3.30
I 0.7500 0.7500 0.7500  12 Hg 3.85, 4 Tl 4.02

# 7
First-principles (PBE) data for crystalline Hf2AlGa2 at its relaxed geometry, as listed in the Alexandria database.

SG = P4/mbm (127)
energy relative to the lowest polymorph listed for this composition = 394 meV/atom
energy of formation = -71 meV per atom

Lattice parameters (Å, degrees): 7.7657 7.7657 3.2944 90.00 90.00 90.00
Closest atoms and distances in Å follow each position.
Positions (direct):
Hf 0.1363 0.3637 0.0000  6 Ga 2.71-2.89, 1 Hf 2.99, 2 Al 3.02
Hf 0.3637 0.8637 0.0000  6 Ga 2.71-2.89, 1 Hf 2.99, 2 Al 3.02
Hf 0.6363 0.1363 0.0000  6 Ga 2.71-2.89, 1 Hf 2.99, 2 Al 3.02
Hf 0.8637 0.6363 0.0000  6 Ga 2.71-2.89, 1 Hf 2.99, 2 Al 3.02
Al 0.0000 0.0000 0.0000  4 Hf 3.02, 2 Al 3.29, 8 Ga 3.33
Al 0.5000 0.5000 0.0000  4 Hf 3.02, 2 Al 3.29, 8 Ga 3.33
Ga 0.1680 0.6680 0.5000  6 Hf 2.71-2.89
Ga 0.3320 0.1680 0.5000  6 Hf 2.71-2.89
Ga 0.6680 0.8320 0.5000  6 Hf 2.71-2.89
Ga 0.8320 0.3320 0.5000  6 Hf 2.71-2.89

# 8
First-principles (PBE) data for crystalline PmEu2In at its relaxed geometry, as listed in the Alexandria database.

SG = Fm-3m (225)
energy relative to the lowest polymorph listed for this composition = 125 meV/atom
energy of formation = -90 meV per atom

Lattice parameters (Å, degrees): 5.6857 5.6857 5.6857 60.00 60.00 60.00
Closest atoms and distances in Å follow each position.
Positions (direct):
Pm 0.0000 0.0000 0.0000  8 Eu 3.48
Eu 0.2500 0.2500 0.2500  4 In 3.48, 4 Pm 3.48
Eu 0.7500 0.7500 0.7500  4 In 3.48, 4 Pm 3.48
In 0.5000 0.5000 0.5000  8 Eu 3.48